(1)
Density functional theory data (PBE) for UNi2P after structural relaxation.

Results
The energy relative to the lowest polymorph listed for this composition comes out at 0.070 eV/atom. The space-group type is Cmmm. The calculation puts the formation energy at -38 kJ per mole of atoms.

Cell lengths 4.028, 4.028, 3.850 Å; angles 90.00, 90.00, 98.43 degrees
Atoms (fractional coordinates):
U  0.000  0.000  0.000
Ni  0.293  0.707  0.500
Ni  0.707  0.293  0.500
P  0.500  0.500  0.000


(2)
Density functional theory data (PBE) for Pr7Hg2Sb2 after structural relaxation.

Results
The space-group type is Cmmm. As for the formation energy from raw total energies: -0.27 eV/atom.

Cell lengths 7.410, 7.410, 7.171 Å; angles 90.00, 90.00, 100.12 degrees
Atoms (fractional coordinates):
Pr  0.000  0.000  0.000
Pr  0.000  0.500  0.273
Pr  0.000  0.500  0.727
Pr  0.500  0.000  0.273
Pr  0.500  0.000  0.727
Pr  0.500  0.500  0.258
Pr  0.500  0.500  0.742
Hg  0.275  0.725  0.000
Hg  0.725  0.275  0.000
Sb  0.193  0.193  0.500
Sb  0.807  0.807  0.500


| no. | energy (eV per atom) |
| --- | --- |
| 1 | -7.4616 |
| 2 | -4.1159 |